Entry 1:
Material: Nd2Fe21B6
Method: DFT, PBE
State: optimized geometry

POSCAR file:
```
Nd2Fe21B6
1.0
5.609 -4.293 3.063
3.276 2.114 6.638
-1.321 -4.057 6.408
Fe B Nd
21 6 2
Direct
0.338 0.662 0.000
0.611 0.167 0.611
0.000 0.000 0.662
0.000 0.000 0.000
0.338 0.000 0.000
0.389 0.833 0.389
0.833 0.389 0.389
0.389 0.389 0.833
0.662 0.000 0.338
0.611 0.611 0.167
0.167 0.611 0.611
0.662 0.338 0.000
0.000 0.000 0.338
0.000 0.662 0.338
0.389 0.389 0.389
0.000 0.662 0.000
0.662 0.000 0.000
0.000 0.338 0.662
0.611 0.611 0.611
0.338 0.000 0.662
0.000 0.338 0.000
0.729 0.271 0.271
0.729 0.271 0.729
0.271 0.729 0.729
0.729 0.729 0.271
0.271 0.271 0.729
0.271 0.729 0.271
0.250 0.250 0.250
0.750 0.750 0.750
```

Theoretical density ... 7.854 g cm⁻³
Formation energy ... -0.101 eV per atom
Total moment ... 42.5 μB per formula unit
Calculated volume ... 322.6 Å³/f.u.

---

Entry 2:
Material: Nd2FeB10
Method: DFT, PBE
State: optimized geometry

POSCAR file:
```
Nd2FeB10
1.0
-1.838 3.686 -0.803
-2.225 -2.140 -4.730
-9.081 -3.275 5.754
B Fe Nd
20 2 4
Direct
0.000 0.628 0.960
0.000 0.128 0.540
0.298 0.296 0.613
0.000 0.965 0.814
0.000 0.154 0.698
0.298 0.796 0.887
0.298 0.204 0.113
0.298 0.704 0.387
0.702 0.204 0.113
0.702 0.796 0.887
0.000 0.535 0.314
0.000 0.346 0.198
0.000 0.372 0.040
0.000 0.035 0.186
0.000 0.465 0.686
0.000 0.872 0.460
0.702 0.296 0.613
0.702 0.704 0.387
0.000 0.654 0.802
0.000 0.846 0.302
0.000 0.500 0.500
0.000 0.000 0.000
0.500 0.709 0.132
0.500 0.791 0.632
0.500 0.291 0.868
0.500 0.209 0.368
```

Theoretical density ... 5.641 g cm⁻³
Formation energy ... -0.516 eV per atom
Total moment ... 0.0 μB per formula unit
Calculated volume ... 133.2 Å³/f.u.

---

Entry 3:
Material: NdFeB4
Method: DFT, PBE
State: optimized geometry

POSCAR file:
```
NdFeB4
1.0
-1.366 0.225 3.185
-4.294 -3.894 -1.566
4.411 -3.468 2.137
Fe B Nd
2 8 2
Direct
0.000 0.174 0.174
0.000 0.826 0.826
0.500 0.627 0.934
0.500 0.934 0.627
0.500 0.912 0.088
0.500 0.066 0.373
0.500 0.373 0.066
0.500 0.637 0.637
0.500 0.088 0.912
0.500 0.363 0.363
0.000 0.698 0.302
0.000 0.302 0.698
```

Theoretical density ... 6.655 g cm⁻³
Formation energy ... -0.459 eV per atom
Total moment ... 0.0 μB per formula unit
Calculated volume ... 60.7 Å³/f.u.

---

Entry 4:
Material: NdFe12B6
Method: DFT, PBE
State: optimized geometry

POSCAR file:
```
NdFe12B6
1.0
-1.498 5.718 1.314
-4.853 -2.194 -2.883
-0.037 -2.825 5.356
Nd Fe B
1 12 6
Direct
0.000 0.000 0.000
0.869 0.500 0.131
0.500 0.131 0.869
0.544 0.544 0.813
0.500 0.869 0.131
0.131 0.869 0.500
0.869 0.131 0.500
0.813 0.544 0.544
0.456 0.187 0.456
0.544 0.813 0.544
0.456 0.456 0.187
0.187 0.456 0.456
0.131 0.500 0.869
0.769 0.769 0.313
0.231 0.687 0.231
0.313 0.769 0.769
0.231 0.231 0.687
0.769 0.313 0.769
0.687 0.231 0.231
```

Theoretical density ... 7.412 g cm⁻³
Formation energy ... -0.277 eV per atom
Total moment ... 18.5 μB per formula unit
Calculated volume ... 197.0 Å³/f.u.

---

Entry 5:
Material: NdFeB14
Method: DFT, PBE
State: optimized geometry

POSCAR file:
```
NdFeB14
1.0
-2.027 -5.456 -0.514
4.691 -5.112 2.556
-2.361 -2.855 6.400
B Nd Fe
28 2 2
Direct
0.673 0.031 0.127
0.666 0.368 0.300
0.830 0.969 0.873
0.170 0.031 0.127
0.632 0.002 0.733
0.603 0.398 0.719
0.587 0.246 0.580
0.827 0.373 0.469
0.330 0.373 0.469
0.173 0.627 0.531
0.670 0.627 0.531
0.397 0.602 0.281
0.868 0.767 0.498
0.913 0.920 0.254
0.834 0.200 0.132
0.166 0.800 0.868
0.334 0.632 0.700
0.720 0.602 0.281
0.132 0.233 0.502
0.103 0.219 0.898
0.368 0.998 0.267
0.327 0.969 0.873
0.087 0.080 0.746
0.280 0.398 0.719
0.413 0.754 0.420
0.220 0.781 0.102
0.897 0.781 0.102
0.780 0.219 0.898
0.750 0.619 0.881
0.250 0.381 0.119
0.000 0.000 0.500
0.500 0.000 0.500
```

Theoretical density ... 4.466 g cm⁻³
Formation energy ... -0.137 eV per atom
Total moment ... 3.0 μB per formula unit
Calculated volume ... 130.7 Å³/f.u.

---

Entry 6:
Material: NdFeB2
Method: DFT, PBE
State: optimized geometry

POSCAR file:
```
NdFeB2
1.0
3.500 0.000 0.000
1.750 3.031 0.000
1.750 1.010 4.899
B Nd Fe
2 1 1
Direct
0.689 0.689 0.932
0.311 0.311 0.068
0.500 0.500 0.500
0.000 0.000 0.000
```

Theoretical density ... 7.084 g cm⁻³
Formation energy ... -0.154 eV per atom
Total moment ... 0.0 μB per formula unit
Calculated volume ... 52.0 Å³/f.u.

---

Entry 7:
Material: Nd5Fe2B6
Method: DFT, PBE
State: optimized geometry

POSCAR file:
```
Nd5Fe2B6
1.0
8.746 0.009 0.006
7.025 5.210 0.006
7.025 2.325 4.663
Nd Fe B
5 2 6
Direct
0.749 0.749 0.749
0.583 0.583 0.583
0.417 0.417 0.417
0.000 0.000 0.000
0.251 0.251 0.251
0.878 0.878 0.878
0.122 0.122 0.122
0.500 0.834 0.166
0.166 0.834 0.500
0.834 0.500 0.166
0.500 0.166 0.834
0.166 0.500 0.834
0.834 0.166 0.500
```

Theoretical density ... 7.033 g cm⁻³
Formation energy ... -0.387 eV per atom
Total moment ... 1.0 μB per formula unit
Calculated volume ... 212.0 Å³/f.u.

---

Entry 8:
Material: NdFe4B4
Method: DFT, PBE
State: optimized geometry

POSCAR file:
```
NdFe4B4
1.0
3.806 0.000 0.000
0.000 7.052 0.000
0.000 0.000 7.052
Fe Nd B
8 2 8
Direct
0.893 0.388 0.132
0.107 0.868 0.388
0.393 0.632 0.112
0.107 0.132 0.612
0.893 0.612 0.868
0.607 0.888 0.632
0.393 0.368 0.888
0.607 0.112 0.368
0.000 0.000 0.000
0.500 0.500 0.500
0.105 0.202 0.334
0.895 0.666 0.202
0.395 0.298 0.166
0.895 0.334 0.798
0.395 0.702 0.834
0.105 0.798 0.666
0.605 0.834 0.298
0.605 0.166 0.702
```

Theoretical density ... 7.211 g cm⁻³
Formation energy ... -0.433 eV per atom
Total moment ... 0.7 μB per formula unit
Calculated volume ... 94.6 Å³/f.u.

---

Entry 9:
Material: NdFe9B4
Method: DFT, PBE
State: optimized geometry

POSCAR file:
```
NdFe9B4
1.0
6.491 0.000 -3.660
-2.064 6.154 -3.660
0.010 0.013 7.602
B Nd Fe
8 2 18
Direct
0.701 0.201 0.706
0.799 0.995 0.294
0.299 0.799 0.294
0.505 0.701 0.706
0.995 0.495 0.294
0.495 0.299 0.294
0.005 0.505 0.706
0.201 0.005 0.706
0.750 0.750 0.500
0.250 0.250 0.500
0.031 0.809 0.339
0.313 0.594 0.000
0.969 0.191 0.661
0.500 0.000 0.000
0.531 0.031 0.339
0.687 0.406 0.000
0.094 0.813 0.000
0.187 0.094 0.000
0.191 0.691 0.661
0.406 0.313 0.000
0.469 0.969 0.661
0.813 0.906 0.000
0.906 0.187 0.000
0.000 0.500 0.000
0.594 0.687 0.000
0.309 0.531 0.339
0.809 0.309 0.339
0.691 0.469 0.661
```

Theoretical density ... 7.532 g cm⁻³
Formation energy ... -0.129 eV per atom
Total moment ... 13.1 μB per formula unit
Calculated volume ... 152.1 Å³/f.u.

---

Entry 10:
Material: NdFe7B3
Method: DFT, PBE
State: optimized geometry

POSCAR file:
```
NdFe7B3
1.0
5.937 0.000 3.198
2.108 5.551 3.198
-0.144 -0.099 7.378
Nd Fe B
2 14 6
Direct
0.000 0.000 0.000
0.500 0.500 0.500
0.578 0.152 0.917
0.147 0.348 0.583
0.853 0.652 0.417
0.353 0.578 0.917
0.078 0.853 0.417
0.750 0.750 0.750
0.922 0.147 0.583
0.250 0.250 0.250
0.422 0.848 0.083
0.848 0.647 0.083
0.152 0.353 0.917
0.348 0.922 0.583
0.647 0.422 0.083
0.652 0.078 0.417
0.428 0.072 0.750
0.750 0.428 0.750
0.072 0.750 0.750
0.928 0.250 0.250
0.572 0.928 0.250
0.250 0.572 0.250
```

Theoretical density ... 7.634 g cm⁻³
Formation energy ... -0.003 eV per atom
Total moment ... 13.5 μB per formula unit
Calculated volume ... 123.5 Å³/f.u.

---

Question: Among the records above, which one has the highest calculated volume?
Answer: Nd2Fe21B6

---

Question: What is the total moment in the second record?
Answer: 0.0 μB per formula unit

---

Question: total moment of number 1 (Nd2Fe21B6)?
Answer: 42.5 μB per formula unit